Below is a relaxed structure of CeGaSb3, with properties calculated at the PBE level.

- Calculated volume: 524 Å³ per cell
- Raw formation energy: -428 meV/atom
- Total DFT energy (no corrections): -4.694 eV per atom
- ρ: 7.28 g cm⁻³

Unit cell a=13.305 b=6.202 c=6.355 alpha=90.00 beta=90.00 gamma=90.00
Space group Pbcm (No. 57)
Inequivalent atoms, fractional coordinates:
Ce 0.188 0.005 0.250
Ga 0.385 0.250 0.000
Sb 0.000 0.250 0.000
Sb 0.232 0.506 0.250
Sb 0.427 0.620 0.750

---

Below is a relaxed structure of Tb2ZrRh3, with properties calculated at the PBE level.

- Calculated volume: 117 Å³ per cell
- Total DFT energy (no corrections): -7.448 eV per atom
- Energy of formation: -0.80 eV/atom
- ρ: 10.15 g cm⁻³

Unit cell a=4.7743 b=4.7743 c=5.9505 alpha=90.00 beta=90.00 gamma=120.00
Space group P-3m1 (No. 164)
Inequivalent atoms, fractional coordinates:
Tb 0.3333 0.6667 0.1653
Zr 0.0000 0.0000 0.5000
Rh 0.0000 0.0000 0.0000
Rh 0.3333 0.6667 0.6415